Here is a geometry-optimized CdInClO structure from Alexandria. Energies are from PBE.

Properties
- Spin magnetization: 0.00 μB/f.u.
- Final energy: -3.40 eV per atom
- Formation energy from raw total energies: -0.79 eV per atom

Cell lengths 3.8116, 3.8116, 47.4811 Å; angles 90.00, 90.00, 120.00 degrees
Space group R-3m (No. 166, hexagonal axes)
Unique sites:
Cd 0.0000 0.0000 0.1410 x6
In 0.0000 0.0000 0.3005 x6
Cl 0.0000 0.0000 0.4023 x6
O 0.0000 0.0000 0.1929 x6

Here is a geometry-optimized CdInP2Cl structure from Alexandria. Energies are from PBE.

Properties
- Spin magnetization: 1.81 μB/f.u.
- Offset from the most stable computed form: 0.000 eV per atom
- Final energy: -2.72 eV per atom
- Formation energy from raw total energies: 0.55 eV per atom

Cell lengths 5.0565, 5.0565, 5.6280 Å; angles 90.00, 90.00, 90.00 degrees
Space group P4/mmm (No. 123)
Unique sites:
Cd 0.0000 0.0000 0.0000 x1
In 0.5000 0.5000 0.5000 x1
P 0.0000 0.5000 0.0000 x2
Cl 0.0000 0.0000 0.5000 x1

Question: Among the records above, which one has the highest final energy?
Answer: CdInP2Cl